DFT (PBE) results for crystalline Ac5MgTl8 at its relaxed geometry.

Results
Space-group type: No. 82
E_form in eV per atom: -0.25

abc: 8.5344 8.5344 8.5344
angles: 108.56 111.31 108.56
Closest atoms and distances in Å follow each position.
Positions (direct):
Tl: 0.8277 0.2712 0.4167  1 Mg 3.07, 1 Tl 3.25
Tl: 0.1265 0.7167 0.0101  1 Mg 3.13, 1 Tl 3.25, 3 Ac 3.40-3.44
Tl: 0.2935 0.2833 0.4098  1 Mg 3.13, 1 Tl 3.25, 3 Ac 3.40-3.44
Tl: 0.1455 0.7288 0.5565  1 Mg 3.07, 1 Tl 3.25
Tl: 0.5902 0.8837 0.8735  1 Mg 3.13, 1 Tl 3.25, 3 Ac 3.40-3.44
Tl: 0.9899 0.1163 0.7065  1 Mg 3.13, 1 Tl 3.25, 3 Ac 3.40-3.44
Tl: 0.5833 0.4110 0.8545  1 Mg 3.07, 1 Tl 3.25
Tl: 0.4435 0.5890 0.1723  1 Mg 3.07, 1 Tl 3.25
Ac: 0.7521 0.6492 0.6184  8 Tl 3.40-3.62
Ac: 0.3816 0.1337 0.0307  8 Tl 3.40-3.62
Ac: 0.8971 0.8663 0.2479  8 Tl 3.40-3.62
Ac: 0.9693 0.3508 0.1029  8 Tl 3.40-3.62
Ac: 0.5000 0.0000 0.5000  8 Tl 3.47-3.53
Mg: 0.2500 0.5000 0.7500  8 Tl 3.07-3.13